Here is a relaxed TbTm3Ir2 crystal from Alexandria via LeMat-Bulk. Energies are from PBE-GGA.

Geometry as POSCAR:
```
TbTm3Ir2
1.0
-4.670 4.808 0.133
-4.712 -4.510 -2.426
3.090 -1.880 7.474
Tb Tm Ir
2 6 4
Cartesian
-2.356 -2.255 -1.213 Tb
0.000 0.000 0.000 Tb
-3.513 1.276 -0.540 Tm
-5.869 -0.978 -1.753 Tm
-2.004 2.615 4.022 Tm
-1.932 -1.942 2.372 Tm
-4.288 -4.197 1.159 Tm
-4.360 0.361 2.809 Tm
-2.146 -0.233 4.601 Ir
-3.768 2.942 1.850 Ir
-2.524 -4.524 3.331 Ir
-4.146 -1.349 0.580 Ir
```

The calculated formation energy comes out at -65.4 kJ per mole of atoms. As for the crystal system: orthorhombic. The polymorph energy (0 for the lowest one) is 0.095 eV per atom.



Here is a relaxed Tb3TmIr crystal from Alexandria via LeMat-Bulk. Energies are from PBE-GGA.

Geometry as POSCAR:
```
Tb3TmIr
1.0
-2.167 1.897 -4.617
3.965 -2.403 -2.848
-3.032 -4.499 -0.426
Tb Ir Tm
3 1 1
Cartesian
1.983 -1.202 -1.424 Tb
-1.516 -2.249 -0.213 Tb
-1.083 0.949 -2.309 Tb
0.000 0.000 0.000 Ir
-0.617 -2.502 -3.946 Tm
```

The calculated formation energy comes out at -20.2 kJ per mole of atoms. As for the crystal system: cubic. The polymorph energy (0 for the lowest one) is 0.114 eV per atom.



Here is a relaxed TbTmIr4 crystal from Alexandria via LeMat-Bulk. Energies are from PBE-GGA.

Geometry as POSCAR:
```
TbTmIr4
1.0
-4.843 0.982 -2.050
-3.878 -3.661 0.427
-4.155 0.873 3.254
Tb Ir Tm
1 4 1
Cartesian
0.000 0.000 0.000 Tb
-5.970 -1.565 -0.607 Ir
-6.109 0.701 0.806 Ir
-8.047 -1.129 1.020 Ir
-5.627 -1.619 2.044 Ir
-3.219 -0.452 0.408 Tm
```

The calculated formation energy comes out at -78.7 kJ per mole of atoms. As for the crystal system: cubic.



Here is a relaxed TbTm3Ir3 crystal from Alexandria via LeMat-Bulk. Energies are from PBE-GGA.

Geometry as POSCAR:
```
TbTm3Ir3
1.0
-4.886 1.916 -2.652
-1.375 -4.278 3.710
2.501 4.417 2.969
Tb Tm Ir
1 3 3
Cartesian
-0.692 -2.152 1.866 Tb
-2.446 0.942 -1.312 Tm
-1.886 1.013 2.028 Tm
1.245 2.192 1.497 Tm
-3.136 -1.196 0.542 Ir
-1.197 3.150 0.172 Ir
0.558 0.054 3.354 Ir
```

The calculated formation energy comes out at -75.4 kJ per mole of atoms. As for the crystal system: trigonal.



What did the second record say?
Here is a relaxed Tb3TmIr crystal from Alexandria via LeMat-Bulk. Energies are from PBE-GGA.

Geometry as POSCAR:
```
Tb3TmIr
1.0
-2.167 1.897 -4.617
3.965 -2.403 -2.848
-3.032 -4.499 -0.426
Tb Ir Tm
3 1 1
Cartesian
1.983 -1.202 -1.424 Tb
-1.516 -2.249 -0.213 Tb
-1.083 0.949 -2.309 Tb
0.000 0.000 0.000 Ir
-0.617 -2.502 -3.946 Tm
```

The calculated formation energy comes out at -20.2 kJ per mole of atoms. As for the crystal system: cubic. The polymorph energy (0 for the lowest one) is 0.114 eV per atom.



Question: Which formula does entry 1 have?
Answer: TbTm3Ir2



Question: The highest calculated formation energy belongs to which entry?
Answer: Tb3TmIr